DFT (GGA-PBE) results for a relaxed LaPa2Rh3 crystal.

Structure (POSCAR):
```
LaPa2Rh3
1.0
5.3650 0.0000 0.0000
-2.6825 4.6452 0.0000
0.0000 0.0000 10.5259
La Pa Rh
2 4 6
Cartesian
0.0000 3.0979 2.6315
2.6825 1.5473 7.8945
0.0000 0.0000 0.0000
0.0000 0.0000 5.2630
2.6825 1.5492 2.6315
0.0000 3.0960 7.8945
2.6825 1.5501 0.2278
2.6825 4.6445 7.8945
2.6825 1.5501 5.0351
0.0000 0.0007 2.6315
0.0000 3.0950 10.2981
0.0000 3.0950 5.4908
```

Results
Calculated density, g/cm³: 11.5
VASP energy, Ha/atom: -0.305
Calculated formation energy, eV per atom: -0.626
Space-group type: No. 194